Entry from Alexandria via LeMat-Bulk: a relaxed MgTa8 crystal (PBE).

Computed properties:
DOS at the Fermi energy (states/eV per atom): 1.181
Energy of formation (eV per atom): 0.1183
Magnetic moment (μB per cell): 0.00

Unit cell a=7.186 b=7.186 c=7.186 alpha=93.24 beta=93.24 gamma=152.48
Element x y z (fractional)
1 Mg 0.000 0.000 0.000
2 Ta 0.000 0.333 0.333
3 Ta 0.000 0.667 0.667
4 Ta 0.329 0.329 0.658
5 Ta 0.329 0.671 0.000
6 Ta 0.333 0.000 0.333
7 Ta 0.667 0.000 0.667
8 Ta 0.671 0.329 0.000
9 Ta 0.671 0.671 0.342